The following is a PBE calculation of a relaxed ZnPb crystal, from Alexandria via LeMat-Bulk.

Calculated values
- Symmetry: P4_2/mnm (136)
- Calculated volume: 25.29 A^3/atom
- E_form: 209 meV/atom
- Total energy: -2.28 eV per atom

a b c (Å): 5.859 5.859 5.893
angles (deg): 90.00 90.00 90.00
Fractional coordinates of all 8 atoms:
Zn (0.207, 0.207, 0.000)
Zn (0.293, 0.707, 0.500)
Zn (0.707, 0.293, 0.500)
Zn (0.793, 0.793, 0.000)
Pb (0.213, 0.213, 0.500)
Pb (0.287, 0.713, 0.000)
Pb (0.713, 0.287, 0.000)
Pb (0.787, 0.787, 0.500)